4
Lattice="-0.764 -4.596 -0.667 -0.719 -2.826 3.694 -4.273 -1.812 0.780" Properties=species:S:1:pos:R:3 comment="RbTa2F, single point on PBEsol structure, DFT SCAN" energy_ev_per_atom=-37.263 total_magnetization_mub_per_atom=0.447 spacegroup=Fm-3m raw_formation_energy_kj_per_mol_fu=810 pbc="T T T"
Ta -4.317 -6.925 2.856
Ta -1.439 -2.308 0.952
Rb -2.878 -4.617 1.904
F 0.000 0.000 0.000